Entry 1:
# Pm3B9Ru2

A relaxed structure of Pm3B9Ru2 (GGA-PBE, the Alexandria database).

POSCAR file:
```
Pm3B9Ru2
1.0
3.152 0.000 0.000
1.576 8.002 1.093
1.576 2.879 7.546
Ru B Pm
2 9 3
Cartesian
3.152 6.295 3.243 Ru
3.152 4.585 5.396 Ru
1.576 5.330 1.606 B
1.576 2.772 4.827 B
3.152 2.434 5.120 B
3.152 8.447 3.519 B
1.576 5.440 4.320 B
4.729 8.109 3.812 B
3.152 5.342 7.429 B
3.152 5.539 1.210 B
4.729 5.551 7.033 B
3.152 2.908 2.309 Pm
0.000 0.000 0.000 Pm
3.152 7.973 6.331 Pm
```

Output
Energy of formation from the pure elements (eV/atom): -0.21
Space group: No. 71
D(E_F) (states/eV/f.u.): 6.48


Entry 2:
# K2SI

A relaxed structure of K2SI (GGA-PBE, the Alexandria database).

POSCAR file:
```
K2SI
1.0
-2.025 4.081 0.834
-4.249 0.854 -1.634
-5.500 -1.520 6.941
K I S
2 1 1
Cartesian
-2.891 0.902 1.425 K
-8.883 2.513 4.716 K
-5.887 1.708 3.070 I
0.000 0.000 0.000 S
```

Output
Formation energy without anion corrections (eV per formula unit): -3.58
Space group: No. 166
Excess energy over the best structure of this formula in the dataset (meV/atom): 0
D(E_F) (states/eV/f.u.): 5.34


Entry 3:
# CrOsAu3

A relaxed structure of CrOsAu3 (GGA-PBE, the Alexandria database).

POSCAR file:
```
CrOsAu3
1.0
4.664 0.000 0.000
0.000 4.664 0.000
0.000 0.000 4.664
Au Cr Os
3 1 1
Cartesian
2.332 0.000 0.000 Au
0.000 2.332 0.000 Au
0.000 0.000 2.332 Au
0.000 0.000 0.000 Cr
2.332 2.332 2.332 Os
```

Output
Energy of formation from the pure elements (eV/atom): 1.99
Space group: No. 221
D(E_F) (states/eV/f.u.): 9.03


Entry 4:
# SrSmGa2Pd5

A relaxed structure of SrSmGa2Pd5 (GGA-PBE, the Alexandria database).

POSCAR file:
```
SrSmGa2Pd5
1.0
-1.558 -1.755 3.656
0.842 -3.971 -1.548
8.395 0.325 3.734
Pd Sm Ga Sr
5 1 2 1
Cartesian
3.839 -2.701 2.921 Pd
6.583 -1.747 1.967 Pd
5.383 -0.639 4.569 Pd
2.654 -1.899 0.219 Pd
1.454 -0.791 2.821 Pd
0.000 0.000 0.000 Sm
6.885 -2.583 4.276 Ga
0.794 -2.819 1.566 Ga
4.197 0.162 1.867 Sr
```

Output
Energy of formation from the pure elements (eV/atom): -0.65
Space group: No. 123
D(E_F) (states/eV/f.u.): 5.24


Entry 5:
# Ba2Ga4Sn3Hg

A relaxed structure of Ba2Ga4Sn3Hg (GGA-PBE, the Alexandria database).

POSCAR file:
```
Ba2Ga4Sn3Hg
1.0
-2.039 -2.164 -4.064
-0.976 -4.140 2.694
-9.743 4.067 2.722
Ga Ba Hg Sn
4 2 1 3
Cartesian
-4.132 -0.549 2.365 Ga
-7.118 1.464 -0.328 Ga
0.000 0.000 0.000 Ga
-1.507 -3.152 -0.685 Ga
-3.425 -0.078 -1.360 Ba
-7.825 0.993 3.397 Ba
-6.378 -1.119 0.676 Hg
-4.871 2.033 1.361 Sn
-1.673 -1.575 1.678 Sn
-9.577 2.490 0.359 Sn
```

Output
Energy of formation from the pure elements (eV/atom): -0.39
Space group: No. 115
D(E_F) (states/eV/f.u.): 2.51


Entry 6:
# SnS2O

A relaxed structure of SnS2O (GGA-PBE, the Alexandria database).

POSCAR file:
```
SnS2O
1.0
1.791 0.000 8.364
-0.896 1.551 8.364
-0.896 -1.551 8.364
O S Sn
1 2 1
Cartesian
0.000 0.000 12.547 O
0.000 0.000 22.420 S
0.000 0.000 2.673 S
0.000 0.000 0.000 Sn
```

Output
Formation energy without anion corrections (eV per formula unit): 3.27
Space group: No. 166
Excess energy over the best structure of this formula in the dataset (meV/atom): 834
D(E_F) (states/eV/f.u.): 3.84


Repeat the first record exactly.
# Pm3B9Ru2

A relaxed structure of Pm3B9Ru2 (GGA-PBE, the Alexandria database).

POSCAR file:
```
Pm3B9Ru2
1.0
3.152 0.000 0.000
1.576 8.002 1.093
1.576 2.879 7.546
Ru B Pm
2 9 3
Cartesian
3.152 6.295 3.243 Ru
3.152 4.585 5.396 Ru
1.576 5.330 1.606 B
1.576 2.772 4.827 B
3.152 2.434 5.120 B
3.152 8.447 3.519 B
1.576 5.440 4.320 B
4.729 8.109 3.812 B
3.152 5.342 7.429 B
3.152 5.539 1.210 B
4.729 5.551 7.033 B
3.152 2.908 2.309 Pm
0.000 0.000 0.000 Pm
3.152 7.973 6.331 Pm
```

Output
Energy of formation from the pure elements (eV/atom): -0.21
Space group: No. 71
D(E_F) (states/eV/f.u.): 6.48


Please write out number 3 again, unchanged.
# CrOsAu3

A relaxed structure of CrOsAu3 (GGA-PBE, the Alexandria database).

POSCAR file:
```
CrOsAu3
1.0
4.664 0.000 0.000
0.000 4.664 0.000
0.000 0.000 4.664
Au Cr Os
3 1 1
Cartesian
2.332 0.000 0.000 Au
0.000 2.332 0.000 Au
0.000 0.000 2.332 Au
0.000 0.000 0.000 Cr
2.332 2.332 2.332 Os
```

Output
Energy of formation from the pure elements (eV/atom): 1.99
Space group: No. 221
D(E_F) (states/eV/f.u.): 9.03